Density functional theory data (PBE) for a relaxed structure of ReHgNO.

Properties
**Total DFT energy (no corrections)**: -6.3715 eV/atom
**Calculated volume**: 19.1 Å³/atom
**Excess energy over the best structure of this formula in the dataset**: 0.3635 eV/atom

Structure (CIF):
```
data_ReHgNO
_chemical_formula_sum 'Re4 Hg4 N4 O4'
_symmetry_space_group_name_H-M 'C m m e'
_symmetry_Int_Tables_number 67
_symmetry_space_group_name_Hall '-C 2a 2'
_cell_length_a 5.606
_cell_length_b 5.787
_cell_length_c 9.397
_cell_angle_alpha 90.00
_cell_angle_beta 90.00
_cell_angle_gamma 90.00
loop_
_atom_site_label
_atom_site_fract_x
_atom_site_fract_y
_atom_site_fract_z
_atom_site_occupancy
Re1 0.000 0.250 0.077 1
Hg1 0.250 0.000 0.500 1
N1 0.000 0.250 0.255 1
O1 0.250 0.000 0.000 1
```